VASP calculation (PBE) on crystalline CdSbSe2 at its relaxed geometry.

abc: 7.2647 4.2037 7.1515
angles: 90.00 108.78 90.00
Last column: nearest neighbours and their distance in Å.
Space group C2/m (No. 12)
One atom of each set of equivalent atoms:
Cd  0.0000  0.0000  0.0000 x2  6 Se 2.90-3.00
Sb  0.0000  0.5000  0.5000 x2  6 Se 2.94-2.96
Se  0.2426  0.0000  0.7484 x4  3 Cd 2.90-3.00, 3 Sb 2.94-2.96

Properties
Polymorph energy (0 for the lowest one) (meV per atom): 28
Crystal system: monoclinic
D(E_F) (states/eV/atom): 0.610
ΔE_f (raw) (meV/atom): -240